(1)
A plane-wave DFT calculation with GGA-PBE was carried out for an optimized crystal structure of FeSiPb4.

Calculated values
Its crystal system is cubic. The calculation puts the density at 8.47 g/cm3. Its formation energy (no corrections) is 0.963 eV per atom. The calculation puts the density of states at the Fermi level at 9.325 states/eV per cell. Its space group is F-43m, No. 216. The volume comes out at 178.8 Å³/cell. As for the total energy: -3.8238 eV/atom.

abc: 6.3241 6.3241 6.3241
angles: 60.00 60.00 60.00
Positions (direct):
Fe: 0.0000 0.0000 0.0000
Si: 0.2500 0.2500 0.2500
Pb: 0.1248 0.6251 0.6251
Pb: 0.6251 0.1248 0.6251
Pb: 0.6251 0.6251 0.1248
Pb: 0.6251 0.6251 0.6251

---

(2)
A plane-wave DFT calculation with GGA-PBE was carried out for an optimized crystal structure of FeSiPb2.

Calculated values
Its crystal system is monoclinic. The calculation puts the density at 9.37 g/cm3. Its formation energy (no corrections) is 0.687 eV per atom. The calculation puts the density of states at the Fermi level at 3.906 states/eV per cell. Its space group is C2/m, No. 12. The volume comes out at 88.3 Å³/cell. As for the total energy: -4.6383 eV/atom.

abc: 5.2206 5.2206 3.2684
angles: 90.69 90.69 97.51
Positions (direct):
Fe: 0.0000 0.0000 0.0000
Si: 0.5000 0.5000 0.0000
Pb: 0.0000 0.5000 0.5000
Pb: 0.5000 0.0000 0.5000

---

(3)
A plane-wave DFT calculation with GGA-PBE was carried out for an optimized crystal structure of FeSi2Pb.

Calculated values
Its crystal system is tetragonal. The calculation puts the density at 7.81 g/cm3. Its formation energy (no corrections) is 0.187 eV per atom. The calculation puts the density of states at the Fermi level at 2.434 states/eV per cell. Its space group is P4/mmm, No. 123. The volume comes out at 67.8 Å³/cell. As for the total energy: -5.5675 eV/atom.

abc: 2.9871 2.9871 7.6021
angles: 90.00 90.00 90.00
Positions (direct):
Fe: 0.0000 0.0000 0.0000
Si: 0.5000 0.5000 0.1673
Si: 0.5000 0.5000 0.8327
Pb: 0.0000 0.0000 0.5000